## w
Computed, not measured: a geometry-optimized TaTlCl structure at the PBE level of DFT.

Cell: 3.1443 3.1443 8.4843 Å, 90.00 90.00 120.00°
Closest atoms and distances in Å follow each position.
Positions (direct):
Ta: 0.0000 0.0000 0.0000  3 Cl 2.51
Tl: 0.6667 0.3333 0.3169  6 Tl 3.14, 3 Ta 3.24
Cl: 0.3333 0.6667 0.7953  3 Ta 2.51

Summary:
Total magnetization: 0.0 μB per formula unit
Space-group type: P3m1


## x
Computed, not measured: a geometry-optimized TaTlCl structure at the PBE level of DFT.

Cell: 4.6827 4.6827 4.6827 Å, 60.00 60.00 60.00°
Closest atoms and distances in Å follow each position.
Positions (direct):
Ta: 0.0000 0.0000 0.0000  4 Tl 2.87, 4 Cl 2.87
Tl: 0.7500 0.7500 0.7500  4 Ta 2.87
Cl: 0.2500 0.2500 0.2500  4 Ta 2.87

Summary:
Total magnetization: 0.0 μB per formula unit
Space-group type: F-43m


Tell me which of them is the least stable. Sure, it is x.